# 1
DFT (PBE) results for ScTc after structural relaxation.

The structure in CIF format:
```
data_ScTc
_chemical_formula_sum 'Sc8 Tc8'
_cell_length_a 6.597
_cell_length_b 4.554
_cell_length_c 9.836
_cell_angle_alpha 90.00
_cell_angle_beta 90.00
_cell_angle_gamma 90.00
_space_group_name_H-M_alt 'P 1'
_space_group_IT_number 1
loop_
_space_group_symop_operation_xyz
'x,y,z'
loop_
_atom_site_label
_atom_site_fract_x
_atom_site_fract_y
_atom_site_fract_z
Sc1 0.668 0.750 0.496
Sc2 0.168 0.750 0.004
Sc3 0.663 0.250 0.277
Sc4 0.837 0.750 0.777
Sc5 0.332 0.250 0.504
Sc6 0.832 0.250 0.996
Sc7 0.337 0.750 0.723
Sc8 0.163 0.250 0.223
Tc1 0.951 0.250 0.569
Tc2 0.049 0.750 0.431
Tc3 0.377 0.750 0.294
Tc4 0.877 0.750 0.206
Tc5 0.623 0.250 0.706
Tc6 0.549 0.750 0.069
Tc7 0.123 0.250 0.794
Tc8 0.451 0.250 0.931
```



# 2
DFT (PBE) results for ScTc3 after structural relaxation.

The structure in CIF format:
```
data_ScTc3
_chemical_formula_sum 'Sc2 Tc6'
_cell_length_a 5.365
_cell_length_b 5.365
_cell_length_c 4.700
_cell_angle_alpha 90.00
_cell_angle_beta 90.00
_cell_angle_gamma 98.28
_space_group_name_H-M_alt 'P 1'
_space_group_IT_number 1
loop_
_space_group_symop_operation_xyz
'x,y,z'
loop_
_atom_site_label
_atom_site_fract_x
_atom_site_fract_y
_atom_site_fract_z
Tc1 0.591 0.063 0.250
Tc2 0.409 0.937 0.750
Tc3 0.070 0.930 0.250
Tc4 0.937 0.409 0.250
Tc5 0.930 0.070 0.750
Tc6 0.063 0.591 0.750
Sc1 0.573 0.427 0.750
Sc2 0.427 0.573 0.250
```



| no. | energy of formation from the pure elements (kJ per mole of atoms) | magnetic moment (Bohr magnetons per cell) | density of states at the Fermi level (states/eV/f.u.) |
| --- | --- | --- | --- |
| 1 | -11.1 | 0.000 | 2.0 |
| 2 | 30.1 | 0.000 | 4.8 |